No. 1
First-principles (PBE) data for a relaxed Th4SnHg2 crystal, as listed in the Alexandria database.

The crystal system is trigonal.

Cell: 5.3662 5.3662 26.0169 Å, 90.00 90.00 120.00°
Space group R-3m (No. 166, hexagonal axes)
One atom of each set of equivalent atoms:
Th  0.0000  0.0000  0.1203 [6 per cell]
Th  0.0000  0.0000  0.3721 [6 per cell]
Sn  0.0000  0.0000  0.5000 [3 per cell]
Hg  0.0000  0.0000  0.2527 [6 per cell]

=====

No. 2
First-principles (PBE) data for a relaxed ZrPH crystal, as listed in the Alexandria database.

The crystal system is monoclinic.

Cell: 3.580 3.592 6.163 Å, 90.00 91.61 90.00°
Space group Pm (No. 6)
One atom of each set of equivalent atoms:
Zr  0.000  0.000  0.000 [1 per cell]
Zr  0.496  0.000  0.507 [1 per cell]
P  0.486  0.500  0.828 [1 per cell]
P  0.994  0.500  0.382 [1 per cell]
H  0.503  0.000  0.170 [1 per cell]
H  0.855  0.500  0.143 [1 per cell]

=====

No. 3
First-principles (PBE) data for a relaxed Cd2HgBiPd crystal, as listed in the Alexandria database.

The crystal system is tetragonal.

Cell: 5.284 5.284 5.228 Å, 90.00 90.00 90.00°
Space group P4/mmm (No. 123)
One atom of each set of equivalent atoms:
Cd  0.000  0.500  0.000 [2 per cell]
Hg  0.000  0.000  0.500 [1 per cell]
Bi  0.500  0.500  0.500 [1 per cell]
Pd  0.500  0.500  0.000 [1 per cell]

=====

| no. | uncorrected energy (eV/atom) |
| --- | --- |
| 1 | -4.980 |
| 2 | -6.576 |
| 3 | -2.215 |